# 1
A plane-wave DFT calculation with PBE was carried out for a relaxed structure of Nd2Cu2Pt5Rh.

Calculated values
Space group   P4/mbm (127)
Energy relative to the elements   -606 kJ/mol of formula units

Cell lengths 4.0127, 9.3562, 9.3562 Å; angles 90.00, 90.00, 90.00 degrees
Closest atoms and distances in Å follow each position.
Fractional positions:
Nd  0.0000  0.6824  0.1824  3 Cu 2.66-2.86
Nd  0.0000  0.3176  0.8176  3 Cu 2.66-2.86
Nd  0.0000  0.1824  0.3176  3 Cu 2.66-2.86
Nd  0.0000  0.8176  0.6824  3 Cu 2.66-2.86
Cu  0.0000  0.1162  0.6162  6 Pt 2.53-2.65, 1 Nd 2.66
Cu  0.0000  0.8838  0.3838  6 Pt 2.53-2.65, 1 Nd 2.66
Cu  0.0000  0.6162  0.8838  6 Pt 2.53-2.65, 1 Nd 2.66
Cu  0.0000  0.3838  0.1162  6 Pt 2.53-2.65, 1 Nd 2.66
Pt  0.5000  0.2068  0.0624  2 Cu 2.65, 3 Pt 2.80-2.86, 2 Rh 2.85
Pt  0.5000  0.7932  0.9376  2 Cu 2.65, 3 Pt 2.80-2.86, 2 Rh 2.85
Pt  0.5000  0.0624  0.7932  2 Cu 2.65, 3 Pt 2.80-2.86, 2 Rh 2.85
Pt  0.5000  0.7068  0.4376  2 Cu 2.65, 3 Pt 2.80-2.86, 2 Rh 2.85
Pt  0.5000  0.9376  0.2068  2 Cu 2.65, 3 Pt 2.80-2.86, 2 Rh 2.85
Pt  0.5000  0.2932  0.5624  2 Cu 2.65, 3 Pt 2.80-2.86, 2 Rh 2.85
Pt  0.5000  0.5624  0.7068  2 Cu 2.65, 3 Pt 2.80-2.86, 2 Rh 2.85
Pt  0.5000  0.4376  0.2932  2 Cu 2.65, 3 Pt 2.80-2.86, 2 Rh 2.85
Pt  0.5000  0.5000  0.0000  4 Cu 2.53, 4 Pt 2.80
Pt  0.5000  0.0000  0.5000  4 Cu 2.53, 4 Pt 2.80
Rh  0.0000  0.0000  0.0000  8 Pt 2.85
Rh  0.0000  0.5000  0.5000  8 Pt 2.85

# 2
A plane-wave DFT calculation with PBE was carried out for a relaxed structure of Nd2CuSb3Pt4.

Calculated values
Space group   P-4m2 (115)
Formation energy (no corrections)   -76 kJ per mole of atoms

Cell lengths 4.5682, 4.5682, 10.4032 Å; angles 90.00, 90.00, 90.00 degrees
Closest atoms and distances in Å follow each position.
Fractional positions:
Nd  0.5000  0.0000  0.2486  6 Sb 3.44-3.47, 9 Pt 3.45-3.85, 2 Cu 3.47
Nd  0.0000  0.5000  0.7514  6 Sb 3.44-3.47, 9 Pt 3.45-3.85, 2 Cu 3.47
Cu  0.5000  0.5000  0.5000  4 Pt 2.59
Sb  0.0000  0.0000  0.5000  4 Pt 2.59
Sb  0.5000  0.0000  0.8650  5 Pt 2.57-2.68
Sb  0.0000  0.5000  0.1350  5 Pt 2.57-2.68
Pt  0.5000  0.5000  0.0000  4 Sb 2.68
Pt  0.0000  0.0000  0.0000  4 Sb 2.68
Pt  0.5000  0.0000  0.6182  3 Sb 2.57-2.59, 2 Cu 2.59
Pt  0.0000  0.5000  0.3818  3 Sb 2.57-2.59, 2 Cu 2.59

# 3
A plane-wave DFT calculation with PBE was carried out for a relaxed structure of NdScCuPt.

Calculated values
Space group   F-43m (216)
Energy relative to the elements   -248 kJ/mol of formula units

Cell lengths 4.8907, 4.8907, 4.8907 Å; angles 60.00, 60.00, 60.00 degrees
Closest atoms and distances in Å follow each position.
Fractional positions:
Sc  0.7500  0.7500  0.7500  4 Cu 2.99, 4 Pt 2.99
Nd  0.2500  0.2500  0.2500  4 Pt 2.99, 4 Cu 2.99
Cu  0.5000  0.5000  0.5000  4 Nd 2.99, 4 Sc 2.99
Pt  0.0000  0.0000  0.0000  4 Sc 2.99, 4 Nd 2.99

# 4
A plane-wave DFT calculation with PBE was carried out for a relaxed structure of Nd2CuSiPt6.

Calculated values
Space group   R-3m (166)
Formation energy (no corrections)   -77 kJ per mole of atoms

Cell lengths 5.6395, 8.0435, 8.0435 Å; angles 41.04, 69.48, 90.00 degrees
Closest atoms and distances in Å follow each position.
Fractional positions:
Nd  0.7957  0.2043  0.4087  9 Pt 3.06-3.31, 3 Cu 3.36
Nd  0.2043  0.7957  0.5913  9 Pt 3.06-3.31, 3 Cu 3.36
Cu  0.5000  0.5000  0.0000  6 Pt 2.56
Si  0.0000  0.0000  0.0000  6 Pt 2.36
Pt  0.2474  0.2687  0.5054  1 Si 2.36, 1 Cu 2.56
Pt  0.7312  0.7526  0.0216  1 Si 2.36, 1 Cu 2.56
Pt  0.2473  0.7526  0.0216  1 Si 2.36, 1 Cu 2.56
Pt  0.7527  0.2474  0.9784  1 Si 2.36, 1 Cu 2.56
Pt  0.2688  0.2474  0.9784  1 Si 2.36, 1 Cu 2.56
Pt  0.7526  0.7313  0.4946  1 Si 2.36, 1 Cu 2.56